DFT (PBE-GGA) results for a relaxed Sm4YEr4 crystal.

Computed properties:
Magnetization = 0.000 μB per atom
Formation enthalpy at 0 K = 21 meV per atom
N(E_F) = 1.42 states/eV per atom

Lattice parameters (Å, degrees): 15.128 5.046 7.990 90.00 108.48 90.00
Space group C2/m (No. 12)
Inequivalent atoms, fractional coordinates:
Sm  0.167  0.000  0.001 (multiplicity 4)
Sm  0.223  0.500  0.335 (multiplicity 4)
Y  0.000  0.500  0.000 (multiplicity 2)
Er  0.055  0.000  0.335 (multiplicity 4)
Er  0.110  0.500  0.665 (multiplicity 4)

DFT (PBE-GGA) results for a relaxed Sm3Y4Er2 crystal.

Computed properties:
Magnetization = 0.000 μB per atom
Formation enthalpy at 0 K = 101 meV per atom
Excess energy over the best structure of this formula in the dataset = 80 meV/atom
N(E_F) = 1.50 states/eV per atom

Lattice parameters (Å, degrees): 16.554 11.617 6.094 90.00 96.71 90.00
Space group C2/c (No. 15)
Inequivalent atoms, fractional coordinates:
Sm  0.000  0.098  0.250 (multiplicity 4)
Sm  0.167  0.398  0.080 (multiplicity 8)
Y  0.048  0.362  0.515 (multiplicity 8)
Y  0.213  0.134  0.352 (multiplicity 8)
Er  0.117  0.139  0.819 (multiplicity 8)

DFT (PBE-GGA) results for a relaxed Sm2Y3Er6 crystal.

Computed properties:
Magnetization = 0.000 μB per atom
Formation enthalpy at 0 K = 268 meV per atom
Excess energy over the best structure of this formula in the dataset = 73 meV/atom
N(E_F) = 1.58 states/eV per atom

Lattice parameters (Å, degrees): 4.721 4.721 32.926 90.00 90.00 90.00
Space group I4/mmm (No. 139)
Inequivalent atoms, fractional coordinates:
Sm  0.000  0.000  0.046 (multiplicity 4)
Y  0.000  0.000  0.297 (multiplicity 4)
Y  0.000  0.000  0.500 (multiplicity 2)
Er  0.000  0.000  0.193 (multiplicity 4)
Er  0.000  0.500  0.121 (multiplicity 8)

DFT (PBE-GGA) results for a relaxed Sm4Y3Er4 crystal.

Computed properties:
Magnetization = 0.000 μB per atom
Formation enthalpy at 0 K = 147 meV per atom
Excess energy over the best structure of this formula in the dataset = 126 meV/atom
N(E_F) = 1.58 states/eV per atom

Lattice parameters (Å, degrees): 10.541 5.669 12.064 90.00 90.00 90.00
Space group Amm2 (No. 38)
Inequivalent atoms, fractional coordinates:
Sm  0.000  0.000  0.000 (multiplicity 2)
Sm  0.208  0.000  0.794 (multiplicity 4)
Sm  0.500  0.000  0.926 (multiplicity 2)
Y  0.000  0.000  0.294 (multiplicity 2)
Y  0.292  0.000  0.450 (multiplicity 4)
Er  0.000  0.000  0.592 (multiplicity 2)
Er  0.300  0.000  0.143 (multiplicity 4)
Er  0.500  0.000  0.655 (multiplicity 2)

DFT (PBE-GGA) results for a relaxed Sm4YEr8 crystal.

Computed properties:
Magnetization = 0.071 μB per atom
Formation enthalpy at 0 K = 515 meV per atom
N(E_F) = 1.55 states/eV per atom

Lattice parameters (Å, degrees): 7.747 7.747 7.747 90.00 90.00 90.00
Space group Pm-3m (No. 221)
Inequivalent atoms, fractional coordinates:
Sm  0.000  0.000  0.000 (multiplicity 1)
Sm  0.000  0.500  0.500 (multiplicity 3)
Y  0.500  0.500  0.500 (multiplicity 1)
Er  0.240  0.240  0.240 (multiplicity 8)

DFT (PBE-GGA) results for a relaxed Sm7YEr4 crystal.

Computed properties:
Magnetization = 0.000 μB per atom
Formation enthalpy at 0 K = 271 meV per atom
Excess energy over the best structure of this formula in the dataset = 268 meV/atom
N(E_F) = 1.48 states/eV per atom

Lattice parameters (Å, degrees): 12.039 5.959 12.717 90.00 118.13 90.00
Space group C2/m (No. 12)
Inequivalent atoms, fractional coordinates:
Sm  0.000  0.000  0.000 (multiplicity 2)
Sm  0.130  0.500  0.498 (multiplicity 4)
Sm  0.209  0.000  0.921 (multiplicity 4)
Sm  0.238  0.000  0.678 (multiplicity 4)
Y  0.000  0.500  0.000 (multiplicity 2)
Er  0.065  0.000  0.318 (multiplicity 4)
Er  0.136  0.500  0.776 (multiplicity 4)

Q: Which of these has the lowest N(E_F)?
A: Sm4YEr4